# ZrTl2I6, relaxed, DFT GGA-PBE
# - Calculated volume: 41.585 Å³ per atom
# - Energy: -29.4 eV per formula unit
# - Polymorph energy (0 for the lowest one): 0.041 eV/atom
data_ZrTl2I6
_space_group_name_H-M_alt 'P 1'
_space_group_IT_number 1
_space_group_name_Hall 'P 1'
_cell_length_a 8.065
_cell_length_b 8.065
_cell_length_c 8.065
_cell_angle_alpha 119.39
_cell_angle_beta 119.39
_cell_angle_gamma 91.06
loop_
_atom_site_label
_atom_site_type_symbol
_atom_site_fract_x
_atom_site_fract_y
_atom_site_fract_z
_atom_site_occupancy
I1 I 0.751 0.249 0.000 1
I2 I 0.751 0.751 0.502 1
I3 I 0.249 0.249 0.498 1
I4 I 0.249 0.751 0.000 1
I5 I 0.747 0.747 0.000 1
I6 I 0.253 0.253 0.000 1
Zr1 Zr 0.000 0.000 0.000 1
Tl1 Tl 0.750 0.250 0.500 1
Tl2 Tl 0.250 0.750 0.500 1

***

# Ta2AgP, relaxed, DFT GGA-PBE
# - Calculated volume: 17.404 Å³ per atom
# - Energy: -32.6 eV per formula unit
data_Ta2AgP
_space_group_name_H-M_alt 'P 1'
_space_group_IT_number 1
_space_group_name_Hall 'P 1'
_cell_length_a 3.162
_cell_length_b 3.162
_cell_length_c 16.075
_cell_angle_alpha 90.00
_cell_angle_beta 90.00
_cell_angle_gamma 120.00
loop_
_atom_site_label
_atom_site_type_symbol
_atom_site_fract_x
_atom_site_fract_y
_atom_site_fract_z
_atom_site_occupancy
Ta1 Ta 0.667 0.333 0.146 1
Ta2 Ta 0.667 0.333 0.354 1
Ta3 Ta 0.333 0.667 0.646 1
Ta4 Ta 0.333 0.667 0.854 1
Ag1 Ag 0.000 0.000 0.500 1
Ag2 Ag 0.000 0.000 0.000 1
P1 P 0.333 0.667 0.250 1
P2 P 0.667 0.333 0.750 1

***

# WSe2, relaxed, DFT GGA-PBE
# - Calculated volume: 52.932 Å³ per atom
# - Energy: -19.1 eV per formula unit
data_WSe2
_space_group_name_H-M_alt 'P 1'
_space_group_IT_number 1
_space_group_name_Hall 'P 1'
_cell_length_a 7.658
_cell_length_b 7.658
_cell_length_c 7.658
_cell_angle_alpha 60.00
_cell_angle_beta 60.00
_cell_angle_gamma 60.00
loop_
_atom_site_label
_atom_site_type_symbol
_atom_site_fract_x
_atom_site_fract_y
_atom_site_fract_z
_atom_site_occupancy
Se1 Se 0.375 0.375 0.875 1
Se2 Se 0.375 0.875 0.375 1
Se3 Se 0.875 0.375 0.375 1
Se4 Se 0.375 0.375 0.375 1
W1 W 0.500 0.500 0.500 1
W2 W 0.250 0.250 0.250 1

***

# Re3N4, relaxed, DFT GGA-PBE
# - Calculated volume: 9.480 Å³ per atom
# - Energy: -63.0 eV per formula unit
# - Polymorph energy (0 for the lowest one): 0.922 eV/atom
data_Re3N4
_space_group_name_H-M_alt 'P 1'
_space_group_IT_number 1
_space_group_name_Hall 'P 1'
_cell_length_a 5.566
_cell_length_b 5.566
_cell_length_c 5.566
_cell_angle_alpha 109.47
_cell_angle_beta 109.47
_cell_angle_gamma 109.47
loop_
_atom_site_label
_atom_site_type_symbol
_atom_site_fract_x
_atom_site_fract_y
_atom_site_fract_z
_atom_site_occupancy
Re1 Re 0.375 0.250 0.625 1
Re2 Re 0.250 0.625 0.375 1
Re3 Re 0.875 0.125 0.750 1
Re4 Re 0.625 0.375 0.250 1
Re5 Re 0.125 0.750 0.875 1
Re6 Re 0.750 0.875 0.125 1
N1 N 0.859 0.500 0.000 1
N2 N 0.641 0.641 0.641 1
N3 N 0.000 0.359 0.500 1
N4 N 0.500 0.000 0.859 1
N5 N 0.359 0.500 0.000 1
N6 N 0.141 0.141 0.141 1
N7 N 0.000 0.859 0.500 1
N8 N 0.500 0.000 0.359 1